# CuIr2W PBE optimized geometry
# **Offset from the most stable computed form**: 6.8 meV per atom
# **Total DFT energy (no corrections)**: -8.845 eV/atom
data_CuIr2W
_cell_length_a 2.796
_cell_length_b 3.689
_cell_length_c 5.563
_cell_angle_alpha 90.00
_cell_angle_beta 90.00
_cell_angle_gamma 90.00
_space_group_name_H-M_alt 'P m m m'
_space_group_IT_number 47
_space_group_name_Hall '-P 2 2'
loop_
_atom_site_label
_atom_site_type_symbol
_atom_site_fract_x
_atom_site_fract_y
_atom_site_fract_z
Cu1 Cu 0.000 0.000 0.000
Ir1 Ir 0.500 0.500 0.243
W1 W 0.000 0.000 0.500